[1]
A plane-wave DFT calculation with GGA-PBE was carried out for crystalline V3BRh at its relaxed geometry.

## Properties
crystal system: cubic
energy above the most stable polymorph in this dataset: 1.931 eV/atom
magnetization: 1.0 μB per cell

abc: 4.4845 4.4845 4.4845
angles: 90.00 90.00 90.00
Space group Pm-3m (No. 221)
Symmetry-distinct sites (fractional):
V 0.0000 0.0000 0.5000 (multiplicity 3)
B 0.5000 0.5000 0.5000 (multiplicity 1)
Rh 0.0000 0.0000 0.0000 (multiplicity 1)

[2]
A plane-wave DFT calculation with GGA-PBE was carried out for crystalline Y3U2Ru4 at its relaxed geometry.

## Properties
crystal system: monoclinic
magnetization: 2.7 μB per cell
energy: -0.337 Ha/atom

abc: 10.9922 4.2020 8.8622
angles: 90.00 101.38 90.00
Space group C2/m (No. 12)
Symmetry-distinct sites (fractional):
Y 0.0000 0.0000 0.0000 (multiplicity 2)
Y 0.1251 0.5000 0.3845 (multiplicity 4)
U 0.1737 0.5000 0.7786 (multiplicity 4)
Ru 0.0910 0.0000 0.6367 (multiplicity 4)
Ru 0.2199 0.5000 0.0925 (multiplicity 4)

[3]
A plane-wave DFT calculation with GGA-PBE was carried out for crystalline Dy3USe6 at its relaxed geometry.

## Properties
ΔE_f (raw): -1.68 eV per atom
crystal system: monoclinic
energy above the most stable polymorph in this dataset: 0.000 eV/atom
magnetization: 5.8 μB per cell

abc: 11.5917 4.0872 11.8521
angles: 90.00 108.88 90.00
Space group P2_1/m (No. 11)
Symmetry-distinct sites (fractional):
Dy 0.0684 0.2500 0.1660 (multiplicity 2)
Dy 0.1798 0.7500 0.5008 (multiplicity 2)
Dy 0.3421 0.2500 0.9178 (multiplicity 2)
U 0.4542 0.2500 0.3060 (multiplicity 2)
Se 0.0187 0.2500 0.3835 (multiplicity 2)
Se 0.1048 0.2500 0.9368 (multiplicity 2)
Se 0.2457 0.7500 0.2766 (multiplicity 2)
Se 0.3066 0.7500 0.7486 (multiplicity 2)
Se 0.3866 0.2500 0.5360 (multiplicity 2)
Se 0.4167 0.7500 0.0990 (multiplicity 2)

[4]
A plane-wave DFT calculation with GGA-PBE was carried out for crystalline KAlFe2Pb at its relaxed geometry.

## Properties
crystal system: tetragonal
magnetization: 5.6 μB per cell
energy: -0.111 Ha/atom

abc: 4.8227 4.8227 5.7883
angles: 90.00 90.00 90.00
Space group P4/mmm (No. 123)
Symmetry-distinct sites (fractional):
K 0.0000 0.0000 0.0000 (multiplicity 1)
Al 0.5000 0.5000 0.5000 (multiplicity 1)
Fe 0.0000 0.5000 0.0000 (multiplicity 2)
Pb 0.0000 0.0000 0.5000 (multiplicity 1)

[5]
A plane-wave DFT calculation with GGA-PBE was carried out for crystalline KTcIr2 at its relaxed geometry.

## Properties
crystal system: monoclinic
energy above the most stable polymorph in this dataset: 0.251 eV/atom
magnetization: 0.0 μB per cell

abc: 8.6018 2.7233 7.3120
angles: 90.00 94.15 90.00
Space group C2/m (No. 12)
Symmetry-distinct sites (fractional):
K 0.0000 0.0000 0.0000 (multiplicity 2)
Tc 0.0000 0.5000 0.5000 (multiplicity 2)
Ir 0.2373 0.0000 0.6524 (multiplicity 4)

[6]
A plane-wave DFT calculation with GGA-PBE was carried out for crystalline Cs4Nd3TaS8 at its relaxed geometry.

## Properties
ΔE_f (raw): -1.52 eV per atom
crystal system: trigonal
magnetization: 4.3 μB per cell

abc: 8.2083 8.2083 24.2618
angles: 90.00 90.00 120.00
Space group R-3m (No. 166, hexagonal axes)
Symmetry-distinct sites (fractional):
Cs 0.0000 0.0000 0.0000 (multiplicity 3)
Cs 0.0000 0.5000 0.0000 (multiplicity 9)
Nd 0.0000 0.5000 0.5000 (multiplicity 9)
Ta 0.0000 0.0000 0.5000 (multiplicity 3)
S 0.0000 0.0000 0.2308 (multiplicity 6)
S 0.0306 0.5153 0.2267 (multiplicity 18)

[7]
A plane-wave DFT calculation with GGA-PBE was carried out for crystalline LaAlIn at its relaxed geometry.

## Properties
crystal system: orthorhombic
magnetization: 0.0 μB per cell
energy: -0.157 Ha/atom

abc: 4.8291 7.8583 8.3269
angles: 90.00 90.00 90.00
Space group Imma (No. 74)
Symmetry-distinct sites (fractional):
La 0.0000 0.0000 0.0000 (multiplicity 4)
Al 0.0000 0.2500 0.3211 (multiplicity 4)
In 0.0000 0.2500 0.6546 (multiplicity 4)

[8]
A plane-wave DFT calculation with GGA-PBE was carried out for crystalline NiSb2I at its relaxed geometry.

## Properties
ΔE_f (raw): -0.11 eV per atom
crystal system: trigonal
energy above the most stable polymorph in this dataset: 0.000 eV/atom
magnetization: 0.0 μB per cell

abc: 4.0205 4.0205 22.4631
angles: 90.00 90.00 120.00
Space group R-3m (No. 166, hexagonal axes)
Symmetry-distinct sites (fractional):
Ni 0.0000 0.0000 0.0000 (multiplicity 3)
Sb 0.0000 0.0000 0.2822 (multiplicity 6)
I 0.0000 0.0000 0.5000 (multiplicity 3)

- The highest magnetization belongs to which entry?
  Dy3USe6